Entry 1:
A relaxed structure of MnAl2Tc, computed with PBE.

Space group: Fm-3m, No. 225
Crystal system: cubic
ΔE to the lowest computed polymorph (meV per atom): 1

Cell: 4.2834 4.2834 4.2834 Å, 60.00 60.00 60.00°
Fractional coordinates of all 4 atoms:
Mn  0.0000  0.0000  0.0000
Al  0.2500  0.2500  0.2500
Al  0.7500  0.7500  0.7500
Tc  0.5000  0.5000  0.5000



Entry 2:
A relaxed structure of MnAlTc, computed with PBE.

Space group: I4mm, No. 107
Crystal system: tetragonal
ΔE to the lowest computed polymorph (meV per atom): 0

Cell: 5.0696 5.0696 5.0696 Å, 146.84 146.84 47.60°
Fractional coordinates of all 3 atoms:
Mn  0.0000  0.0000  0.0000
Al  0.6621  0.6621  0.0000
Tc  0.3446  0.3446  0.0000



Entry 3:
A relaxed structure of Mn2AlTc, computed with PBE.

Space group: Pm, No. 6
Crystal system: monoclinic

Cell: 2.6176 4.0861 4.9834 Å, 90.00 102.08 90.00°
Fractional coordinates of all 4 atoms:
Mn  0.0000  0.0000  0.0000
Mn  0.1460  0.5000  0.7582
Al  0.4316  0.0000  0.5159
Tc  0.7453  0.5000  0.2583



Entry 4:
A relaxed structure of Mn2AlTc2, computed with PBE.

Space group: P4/mbm, No. 127
Crystal system: tetragonal
ΔE to the lowest computed polymorph (meV per atom): 0

Cell: 7.0304 7.0304 2.7516 Å, 90.00 90.00 90.00°
Fractional coordinates of all 10 atoms:
Mn  0.1243  0.3757  0.0000
Mn  0.3757  0.8757  0.0000
Mn  0.6243  0.1243  0.0000
Mn  0.8757  0.6243  0.0000
Al  0.0000  0.0000  0.0000
Al  0.5000  0.5000  0.0000
Tc  0.1672  0.6672  0.5000
Tc  0.3328  0.1672  0.5000
Tc  0.6672  0.8328  0.5000
Tc  0.8328  0.3328  0.5000



no.,ΔH_f (0 K) (eV per atom),uncorrected energy (eV per cell)
1,-0.311,-28.3
2,-0.311,-24.2
3,-0.097,-32.8
4,0.083,-84.8